# 1
VASP calculation (SCAN) on a PBEsol-optimized structure of SrBe2B2O6.

a b c (Å): 9.2375 4.4907 11.7350
angles (deg): 90.00 114.27 90.00
Last column: nearest neighbours and their distance in Å.
Space group P2_1/c (No. 14)
Inequivalent atoms, fractional coordinates:
Sr: 0.2282 0.0246 0.1556  5 O 2.47-2.65
Be: 0.0907 0.5648 0.3071  4 O 1.60-1.68
Be: 0.4217 0.5959 0.0483  4 O 1.60-1.69
B: 0.1305 0.0963 0.4250  3 O 1.36-1.40
B: 0.4042 0.5611 0.3542  3 O 1.37-1.39
O: 0.0611 0.5765 0.8172  1 B 1.40
O: 0.0766 0.1156 0.9218  1 B 1.38
O: 0.2470 0.5087 0.0329  1 B 1.36
O: 0.2476 0.0108 0.7870  1 B 1.37
O: 0.4391 0.6622 0.9128  1 B 1.39
O: 0.4778 0.6277 0.6422  1 B 1.37

Values from the calculation:
Raw formation energy, eV per atom: -2.98

---

# 2
VASP calculation (SCAN) on a PBEsol-optimized structure of YBe2B5O11.

a b c (Å): 25.5907 4.3355 6.6579
angles (deg): 90.00 90.00 90.00
Last column: nearest neighbours and their distance in Å.
Space group Pna2_1 (No. 33)
Inequivalent atoms, fractional coordinates:
Y: 0.0804 0.1342 0.0000  6 O 2.26-2.42
Be: 0.2059 0.3351 0.8598  4 O 1.61-1.65
Be: 0.2088 0.8330 0.0833  4 O 1.60-1.65
B: 0.0014 0.4664 0.5916  3 O 1.35-1.41
B: 0.0560 0.9785 0.5706  4 O 1.46-1.48
B: 0.1292 0.6249 0.6722  3 O 1.35-1.40
B: 0.1286 0.8539 0.3406  3 O 1.36-1.39
B: 0.2480 0.8205 0.7181  3 O 1.37-1.38
O: 0.0085 0.7841 0.5595  2 B 1.41-1.48
O: 0.0427 0.2825 0.6513  2 B 1.38-1.46
O: 0.0483 0.6271 0.0593  1 B 1.35
O: 0.0821 0.0091 0.3759  2 B 1.39-1.46
O: 0.0918 0.8462 0.7199  2 B 1.39-1.47
O: 0.1452 0.4194 0.8127  1 B 1.35
O: 0.1494 0.6457 0.4775  2 B 1.39-1.40
O: 0.1504 0.9168 0.1585  1 B 1.36
O: 0.2161 0.9697 0.8539  1 B 1.38
O: 0.2204 0.4709 0.0848  1 B 1.37
O: 0.2475 0.5045 0.7166  1 B 1.37

Values from the calculation:
Raw formation energy, eV per atom: -2.93